(1)
## Li2HgAs (SCAN)

Data for a PBEsol-optimized structure of Li2HgAs.

Unit cell a=2.8401 b=3.7963 c=6.2499 alpha=90.00 beta=90.00 gamma=90.00
Space group Pmmm (No. 47)
Unique sites:
Li (0.0000, 0.0000, 0.2176)
Hg (0.5000, 0.5000, 0.5000)
As (0.5000, 0.5000, 0.0000)

E, eV for the cell shown: -95.00
ρ, g/cm3: 7.1

=====

(2)
## MgP2Pb (SCAN)

Data for a PBEsol-optimized structure of MgP2Pb.

Unit cell a=5.8931 b=7.5550 c=3.8095 alpha=90.00 beta=106.81 gamma=90.00
Space group C2/m (No. 12)
Unique sites:
Mg (0.0000, 0.0000, 0.0000)
P (0.2500, 0.2500, 0.5000)
Pb (0.0000, 0.5000, 0.0000)

E, eV for the cell shown: -201.66
ρ, g/cm3: 6.0

=====

(3)
## LaSBr (SCAN)

Data for a PBEsol-optimized structure of LaSBr.

Unit cell a=6.9109 b=13.9087 c=7.1097 alpha=90.00 beta=90.00 gamma=90.00
Space group Pbca (No. 61)
Unique sites:
La (0.2432, 0.0934, 0.0326)
S (0.0006, 0.0234, 0.7426)
Br (0.1515, 0.7061, 0.3915)

E, eV for the cell shown: -635.65
ρ, g/cm3: 4.9
Formation energy from raw total energies, eV per atom: -2.421